# CsNa2GeS4

A relaxed structure of CsNa2GeS4 (PBE-GGA, Alexandria via LeMat-Bulk).

a = 6.877 Å, b = 6.877 Å, c = 6.877 Å
α = 116.86°, β = 116.86°, γ = 95.53°
Element x y z (fractional)
Cs1 0.000 0.000 0.000
Na1 0.250 0.750 0.500
Na2 0.750 0.250 0.500
Ge1 0.500 0.500 0.000
S1 0.181 0.181 0.648
S2 0.467 0.819 0.000
S3 0.533 0.533 0.352
S4 0.819 0.467 0.000

Results
Magnetization ... 1.09 μB per formula unit
E_form (uncorrected) ... -0.78 eV/atom


# CsNaGeS3

A relaxed structure of CsNaGeS3 (PBE-GGA, Alexandria via LeMat-Bulk).

a = 6.756 Å, b = 6.756 Å, c = 9.511 Å
α = 95.20°, β = 95.20°, γ = 94.02°
Element x y z (fractional)
Cs1 0.211 0.211 0.134
Cs2 0.789 0.789 0.866
Na1 0.285 0.715 0.500
Na2 0.715 0.285 0.500
Ge1 0.171 0.171 0.693
Ge2 0.829 0.829 0.307
S1 0.082 0.713 0.220
S2 0.287 0.918 0.780
S3 0.291 0.291 0.515
S4 0.709 0.709 0.485
S5 0.713 0.082 0.220
S6 0.918 0.287 0.780

Results
Magnetization ... 0.00 μB per formula unit
E_form (uncorrected) ... -0.82 eV/atom


# CsNaSc2Ge

A relaxed structure of CsNaSc2Ge (PBE-GGA, Alexandria via LeMat-Bulk).

a = 5.420 Å, b = 5.420 Å, c = 5.826 Å
α = 90.00°, β = 90.00°, γ = 90.00°
Element x y z (fractional)
Cs1 0.000 0.000 0.000
Na1 0.500 0.500 0.500
Sc1 0.000 0.500 0.000
Sc2 0.500 0.000 0.000
Ge1 0.000 0.000 0.500

Results
Magnetization ... 0.00 μB per formula unit
ΔE_f ... 1393 meV per atom


# CsNaGeSe3

A relaxed structure of CsNaGeSe3 (PBE-GGA, Alexandria via LeMat-Bulk).

a = 7.111 Å, b = 7.111 Å, c = 9.746 Å
α = 96.39°, β = 96.39°, γ = 95.02°
Element x y z (fractional)
Cs1 0.209 0.209 0.141
Cs2 0.791 0.791 0.859
Na1 0.275 0.725 0.500
Na2 0.725 0.275 0.500
Ge1 0.179 0.179 0.702
Ge2 0.821 0.821 0.298
Se1 0.082 0.712 0.212
Se2 0.288 0.918 0.788
Se3 0.313 0.313 0.529
Se4 0.687 0.687 0.471
Se5 0.712 0.082 0.212
Se6 0.918 0.288 0.788

Results
Magnetization ... 0.00 μB per formula unit
E_form (uncorrected) ... -0.76 eV/atom


# Cs2NaGeSe4

A relaxed structure of Cs2NaGeSe4 (PBE-GGA, Alexandria via LeMat-Bulk).

a = 13.926 Å, b = 12.222 Å, c = 8.231 Å
α = 83.39°, β = 60.66°, γ = 35.95°
Element x y z (fractional)
Cs1 0.059 0.059 0.691
Cs2 0.309 0.309 0.941
Cs3 0.691 0.691 0.059
Cs4 0.941 0.941 0.309
Na1 0.125 0.125 0.125
Na2 0.875 0.875 0.875
Ge1 0.375 0.375 0.375
Ge2 0.625 0.625 0.625
Se1 0.023 0.607 0.542
Se2 0.328 0.542 0.607
Se3 0.393 0.977 0.672
Se4 0.458 0.672 0.977
Se5 0.542 0.328 0.023
Se6 0.607 0.023 0.328
Se7 0.672 0.458 0.393
Se8 0.977 0.393 0.458

Results
Magnetization ... 0.00 μB per formula unit
E_form (uncorrected) ... -0.78 eV/atom


# CsNa2GeSe4

A relaxed structure of CsNa2GeSe4 (PBE-GGA, Alexandria via LeMat-Bulk).

a = 7.131 Å, b = 7.131 Å, c = 7.131 Å
α = 115.63°, β = 115.63°, γ = 97.76°
Element x y z (fractional)
Cs1 0.000 0.000 0.000
Na1 0.250 0.750 0.500
Na2 0.750 0.250 0.500
Ge1 0.500 0.500 0.000
Se1 0.173 0.534 0.000
Se2 0.466 0.466 0.639
Se3 0.534 0.173 0.000
Se4 0.827 0.827 0.361

Results
Magnetization ... 1.06 μB per formula unit
E_form (uncorrected) ... -0.74 eV/atom


# Cs2NaGe2Te4

A relaxed structure of Cs2NaGe2Te4 (PBE-GGA, Alexandria via LeMat-Bulk).

a = 8.780 Å, b = 8.780 Å, c = 8.424 Å
α = 107.19°, β = 107.19°, γ = 35.54°
Element x y z (fractional)
Cs1 0.133 0.133 0.064
Cs2 0.867 0.867 0.936
Na1 0.000 0.000 0.500
Ge1 0.330 0.330 0.493
Ge2 0.670 0.670 0.507
Te1 0.203 0.203 0.646
Te2 0.474 0.474 0.740
Te3 0.526 0.526 0.260
Te4 0.797 0.797 0.354

Results
Magnetization ... 0.00 μB per formula unit
E_form (uncorrected) ... -0.58 eV/atom


# CsNa2TlGe

A relaxed structure of CsNa2TlGe (PBE-GGA, Alexandria via LeMat-Bulk).

a = 5.865 Å, b = 5.865 Å, c = 5.705 Å
α = 90.00°, β = 90.00°, γ = 90.00°
Element x y z (fractional)
Cs1 0.000 0.000 0.000
Na1 0.000 0.500 0.500
Na2 0.500 0.000 0.500
Tl1 0.500 0.500 0.000
Ge1 0.500 0.500 0.500

Results
Magnetization ... 0.00 μB per formula unit
ΔE_f ... -17 meV per atom


# CsNaTl2Ge

A relaxed structure of CsNaTl2Ge (PBE-GGA, Alexandria via LeMat-Bulk).

a = 5.785 Å, b = 5.785 Å, c = 5.769 Å
α = 90.00°, β = 90.00°, γ = 90.00°
Element x y z (fractional)
Cs1 0.000 0.000 0.000
Na1 0.500 0.500 0.000
Tl1 0.000 0.500 0.500
Tl2 0.500 0.000 0.500
Ge1 0.500 0.500 0.500

Results
Magnetization ... 0.00 μB per formula unit
ΔE_f ... 50 meV per atom


# CsNaZnGe

A relaxed structure of CsNaZnGe (PBE-GGA, Alexandria via LeMat-Bulk).

a = 4.454 Å, b = 4.454 Å, c = 8.627 Å
α = 90.17°, β = 90.17°, γ = 60.03°
Element x y z (fractional)
Cs1 0.000 0.000 0.000
Na1 0.998 0.998 0.488
Zn1 0.666 0.666 0.679
Ge1 0.332 0.332 0.686

Results
Magnetization ... 0.00 μB per formula unit
ΔE_f ... -64 meV per atom


# CsNb3Ge

A relaxed structure of CsNb3Ge (PBE-GGA, Alexandria via LeMat-Bulk).

a = 5.018 Å, b = 5.018 Å, c = 5.018 Å
α = 90.00°, β = 90.00°, γ = 90.00°
Element x y z (fractional)
Cs1 0.000 0.000 0.000
Nb1 0.000 0.500 0.500
Nb2 0.500 0.000 0.500
Nb3 0.500 0.500 0.000
Ge1 0.500 0.500 0.500

Results
Magnetization ... 0.00 μB per formula unit
Polymorph energy (0 for the lowest one) ... 0.000 eV per atom
ΔE_f ... 1460 meV per atom


# CsNb2Ge

A relaxed structure of CsNb2Ge (PBE-GGA, Alexandria via LeMat-Bulk).

a = 10.163 Å, b = 10.163 Å, c = 10.163 Å
α = 151.80°, β = 151.80°, γ = 40.30°
Element x y z (fractional)
Cs1 0.000 0.000 0.000
Cs2 0.750 0.250 0.500
Nb1 0.297 0.625 0.172
Nb2 0.375 0.547 0.672
Nb3 0.453 0.125 0.828
Nb4 0.875 0.703 0.328
Ge1 0.250 0.750 0.500
Ge2 0.500 0.500 0.000

Results
Magnetization ... 0.00 μB per formula unit
ΔE_f ... 1112 meV per atom


Copy entry 7 word for word.
# Cs2NaGe2Te4

A relaxed structure of Cs2NaGe2Te4 (PBE-GGA, Alexandria via LeMat-Bulk).

a = 8.780 Å, b = 8.780 Å, c = 8.424 Å
α = 107.19°, β = 107.19°, γ = 35.54°
Element x y z (fractional)
Cs1 0.133 0.133 0.064
Cs2 0.867 0.867 0.936
Na1 0.000 0.000 0.500
Ge1 0.330 0.330 0.493
Ge2 0.670 0.670 0.507
Te1 0.203 0.203 0.646
Te2 0.474 0.474 0.740
Te3 0.526 0.526 0.260
Te4 0.797 0.797 0.354

Results
Magnetization ... 0.00 μB per formula unit
E_form (uncorrected) ... -0.58 eV/atom